Record 1
Compound: TiTcRuW
Source: Alexandria via LeMat-Bulk
Functional: GGA-PBE
Structure: relaxed

Cell and atoms, written as CIF:
```
data_TiTcRuW
_cell_length_a 6.218
_cell_length_b 6.218
_cell_length_c 6.218
_cell_angle_alpha 90.00
_cell_angle_beta 90.00
_cell_angle_gamma 90.00
_symmetry_space_group_name_H-M 'F -4 3 m'
_symmetry_Int_Tables_number 216
_symmetry_space_group_name_Hall 'F -4 2 3'
loop_
_atom_site_label
_atom_site_type_symbol
_atom_site_fract_x
_atom_site_fract_y
_atom_site_fract_z
Ti1 Ti 0.000 0.000 0.000
Tc1 Tc 0.250 0.250 0.250
Ru1 Ru 0.250 0.250 0.750
W1 W 0.000 0.000 0.500
```

***

Record 2
Compound: ZrTi2TcRu
Source: Alexandria via LeMat-Bulk
Functional: GGA-PBE
Structure: relaxed

Cell and atoms, written as CIF:
```
data_ZrTi2TcRu
_cell_length_a 4.681
_cell_length_b 4.681
_cell_length_c 4.575
_cell_angle_alpha 90.00
_cell_angle_beta 90.00
_cell_angle_gamma 90.00
_symmetry_space_group_name_H-M 'P 4/m m m'
_symmetry_Int_Tables_number 123
_symmetry_space_group_name_Hall '-P 4 2'
loop_
_atom_site_label
_atom_site_type_symbol
_atom_site_fract_x
_atom_site_fract_y
_atom_site_fract_z
Zr1 Zr 0.000 0.000 0.000
Ti1 Ti 0.000 0.500 0.000
Tc1 Tc 0.000 0.000 0.500
Ru1 Ru 0.500 0.500 0.500
```

***

Record 3
Compound: Zr2TiTcRu
Source: Alexandria via LeMat-Bulk
Functional: GGA-PBE
Structure: relaxed

Cell and atoms, written as CIF:
```
data_Zr2TiTcRu
_cell_length_a 4.990
_cell_length_b 4.990
_cell_length_c 4.619
_cell_angle_alpha 90.00
_cell_angle_beta 90.00
_cell_angle_gamma 90.00
_symmetry_space_group_name_H-M 'P 4/m m m'
_symmetry_Int_Tables_number 123
_symmetry_space_group_name_Hall '-P 4 2'
loop_
_atom_site_label
_atom_site_type_symbol
_atom_site_fract_x
_atom_site_fract_y
_atom_site_fract_z
Zr1 Zr 0.000 0.500 0.000
Ti1 Ti 0.000 0.000 0.500
Tc1 Tc 0.500 0.500 0.500
Ru1 Ru 0.500 0.500 0.000
```

***

Record 4
Compound: TlTcRu4
Source: Alexandria via LeMat-Bulk
Functional: GGA-PBE
Structure: relaxed

Cell and atoms, written as CIF:
```
data_TlTcRu4
_cell_length_a 7.260
_cell_length_b 7.260
_cell_length_c 7.260
_cell_angle_alpha 90.00
_cell_angle_beta 90.00
_cell_angle_gamma 90.00
_symmetry_space_group_name_H-M 'F -4 3 m'
_symmetry_Int_Tables_number 216
_symmetry_space_group_name_Hall 'F -4 2 3'
loop_
_atom_site_label
_atom_site_type_symbol
_atom_site_fract_x
_atom_site_fract_y
_atom_site_fract_z
Tl1 Tl 0.000 0.000 0.000
Tc1 Tc 0.250 0.250 0.250
Ru1 Ru 0.125 0.125 0.625
```

***

Record 5
Compound: Tl4TcRu
Source: Alexandria via LeMat-Bulk
Functional: GGA-PBE
Structure: relaxed

Cell and atoms, written as CIF:
```
data_Tl4TcRu
_cell_length_a 8.493
_cell_length_b 8.493
_cell_length_c 8.493
_cell_angle_alpha 90.00
_cell_angle_beta 90.00
_cell_angle_gamma 90.00
_symmetry_space_group_name_H-M 'F -4 3 m'
_symmetry_Int_Tables_number 216
_symmetry_space_group_name_Hall 'F -4 2 3'
loop_
_atom_site_label
_atom_site_type_symbol
_atom_site_fract_x
_atom_site_fract_y
_atom_site_fract_z
Tl1 Tl 0.125 0.125 0.125
Tc1 Tc 0.000 0.000 0.500
Ru1 Ru 0.250 0.250 0.750
```

***

Record 6
Compound: TlTc2Ru2
Source: Alexandria via LeMat-Bulk
Functional: GGA-PBE
Structure: relaxed

## Properties
Its offset from the most stable computed form is 0 meV/atom.

Cell and atoms, written as CIF:
```
data_TlTc2Ru2
_cell_length_a 7.650
_cell_length_b 7.650
_cell_length_c 2.803
_cell_angle_alpha 90.00
_cell_angle_beta 90.00
_cell_angle_gamma 90.00
_symmetry_space_group_name_H-M 'P 4/m b m'
_symmetry_Int_Tables_number 127
_symmetry_space_group_name_Hall '-P 4 2ab'
loop_
_atom_site_label
_atom_site_type_symbol
_atom_site_fract_x
_atom_site_fract_y
_atom_site_fract_z
Tl1 Tl 0.000 0.000 0.000
Tc1 Tc 0.162 0.338 0.500
Ru1 Ru 0.124 0.624 0.000
```

***

Record 7
Compound: TlTcRu2
Source: Alexandria via LeMat-Bulk
Functional: GGA-PBE
Structure: relaxed

## Properties
Its offset from the most stable computed form is 142 meV/atom.

Cell and atoms, written as CIF:
```
data_TlTcRu2
_cell_length_a 2.860
_cell_length_b 2.860
_cell_length_c 7.897
_cell_angle_alpha 90.00
_cell_angle_beta 90.00
_cell_angle_gamma 90.00
_symmetry_space_group_name_H-M 'P 4 m m'
_symmetry_Int_Tables_number 99
_symmetry_space_group_name_Hall 'P 4 -2'
loop_
_atom_site_label
_atom_site_type_symbol
_atom_site_fract_x
_atom_site_fract_y
_atom_site_fract_z
Tl1 Tl 0.000 0.000 0.000
Tc1 Tc 0.500 0.500 0.716
Ru1 Ru 0.000 0.000 0.498
Ru2 Ru 0.500 0.500 0.272
```

***

Record 8
Compound: TlTc2Ru2
Source: Alexandria via LeMat-Bulk
Functional: GGA-PBE
Structure: relaxed

## Properties
Its offset from the most stable computed form is 99 meV/atom.

Cell and atoms, written as CIF:
```
data_TlTc2Ru2
_cell_length_a 3.837
_cell_length_b 3.837
_cell_length_c 11.775
_cell_angle_alpha 90.00
_cell_angle_beta 90.00
_cell_angle_gamma 90.00
_symmetry_space_group_name_H-M 'I 4/m m m'
_symmetry_Int_Tables_number 139
_symmetry_space_group_name_Hall '-I 4 2'
loop_
_atom_site_label
_atom_site_type_symbol
_atom_site_fract_x
_atom_site_fract_y
_atom_site_fract_z
Tl1 Tl 0.000 0.000 0.000
Tc1 Tc 0.000 0.500 0.250
Ru1 Ru 0.000 0.000 0.395
```

***

Theoretical density
In order: 11.9; 6.4; 6.2; 12.3; 11.0; 12.2; 13.0; 11.5
Unit: g/cm³
Energy relative to the elements
In order: -0.32; 1.64; 0.75; 0.66; 1.36; 0.39; 0.48; 0.49
Unit: eV per atom